DFT (PBE-GGA) results for a relaxed structure of TlBiF.

## Properties
- D(E_F) (states/eV per cell) = 3.496
- symmetry = P3m1 (156)
- polymorph energy (0 for the lowest one) (meV/atom) = 271
- uncorrected formation energy (meV/atom) = -792
- crystal system = trigonal
- magnetization (μB per cell) = 0.0

Cell: 3.4425 3.4425 7.7642 Å, 90.00 90.00 120.00°
Fractional positions:
Tl: 0.0000 0.0000 0.0000
Bi: 0.6667 0.3333 0.4602
F: 0.3333 0.6667 0.8016